(1)
Entry from Alexandria: crystalline Te2MoAs at its relaxed geometry (PBE).

For the formation energy (no corrections), the calculation gives 182 meV per atom. As for the calculated total energy: -5.26 eV per atom. As for the size of the total moment: 0.000 Bohr magnetons per cell.

It has space group Immm (No. 71), with a = 3.3064 Å, b = 4.2112 Å, c = 13.9638 Å, α = 90.00°, β = 90.00° and γ = 90.00°. The distinct sites, in fractional coordinates, are Te at (0.0000, 0.0000, 0.1650), Mo at (0.0000, 0.5000, 0.5000) and As at (0.0000, 0.5000, 0.0000).

=====

(2)
Entry from Alexandria: crystalline NpGa2Ir at its relaxed geometry (PBE).

The value obtained for the formation energy is -0.235 eV per atom. As for the calculated total energy: -7.20 eV per atom. As for the size of the total moment: 4.349 Bohr magnetons per cell.

It has space group P4/mmm (No. 123), with a = 3.0474 Å, b = 3.0474 Å, c = 7.5077 Å, α = 90.00°, β = 90.00° and γ = 90.00°. The distinct sites, in fractional coordinates, are Np at (0.0000, 0.0000, 0.0000), Ga at (0.5000, 0.5000, 0.2951) and Ir at (0.0000, 0.0000, 0.5000).

=====

(3)
Entry from Alexandria: crystalline ScOsSeBr2 at its relaxed geometry (PBE).

For the formation energy (no corrections), the calculation gives 337 meV per atom. As for the calculated total energy: -4.54 eV per atom. The calculation puts the polymorph energy (0 for the lowest one) at 0.0 meV/atom. As for the size of the total moment: 0.851 Bohr magnetons per cell.

It has space group P4/mmm (No. 123), with a = 5.1002 Å, b = 5.1002 Å, c = 4.8139 Å, α = 90.00°, β = 90.00° and γ = 90.00°. The distinct sites, in fractional coordinates, are Sc at (0.0000, 0.0000, 0.0000), Os at (0.5000, 0.5000, 0.5000), Se at (0.5000, 0.5000, 0.0000) and Br at (0.0000, 0.5000, 0.5000).

=====

(4)
Entry from Alexandria: crystalline CuBiSb2I at its relaxed geometry (PBE).

For the formation energy (no corrections), the calculation gives 1076 meV per atom. As for the calculated total energy: -2.48 eV per atom. The calculation puts the polymorph energy (0 for the lowest one) at 664.2 meV/atom. As for the size of the total moment: 1.182 Bohr magnetons per cell.

It has space group P4/mmm (No. 123), with a = 5.9036 Å, b = 5.9036 Å, c = 6.0998 Å, α = 90.00°, β = 90.00° and γ = 90.00°. The distinct sites, in fractional coordinates, are Cu at (0.0000, 0.0000, 0.0000), Bi at (0.5000, 0.5000, 0.5000), Sb at (0.0000, 0.5000, 0.5000) and I at (0.5000, 0.5000, 0.0000).

=====

(5)
Entry from Alexandria: crystalline HfZr2AgO at its relaxed geometry (PBE).

For the formation energy (no corrections), the calculation gives -997 meV per atom. As for the calculated total energy: -7.97 eV per atom. As for the size of the total moment: 0.000 Bohr magnetons per cell.

It has space group P4/mmm (No. 123), with a = 4.5248 Å, b = 4.5248 Å, c = 4.3353 Å, α = 90.00°, β = 90.00° and γ = 90.00°. The distinct sites, in fractional coordinates, are Hf at (0.0000, 0.0000, 0.0000), Zr at (0.0000, 0.5000, 0.5000), Ag at (0.5000, 0.5000, 0.0000) and O at (0.0000, 0.0000, 0.5000).

=====

(6)
Entry from Alexandria: crystalline La3Sm2Y4 at its relaxed geometry (PBE).

The value obtained for the formation energy is 0.018 eV per atom. As for the calculated total energy: -5.55 eV per atom. The calculation puts the polymorph energy (0 for the lowest one) at 0.0 meV/atom. As for the size of the total moment: 0.000 Bohr magnetons per cell.

It has space group C2/m (No. 12), with a = 15.8673 Å, b = 3.6441 Å, c = 10.9055 Å, α = 90.00°, β = 103.19° and γ = 90.00°. The distinct sites, in fractional coordinates, are La at (0.0000, 0.0000, 0.0000), La at (0.1673, 0.5000, 0.5566), Sm at (0.1669, 0.5000, 0.2203), Y at (0.0000, 0.0000, 0.3315) and Y at (0.1662, 0.5000, 0.8894).

=====

(7)
Entry from Alexandria: crystalline Ba3MnPb at its relaxed geometry (PBE).

The value obtained for the formation energy is 0.426 eV per atom. As for the calculated total energy: -3.30 eV per atom. As for the size of the total moment: 0.000 Bohr magnetons per cell.

It has space group Pm-3m (No. 221), with a = 5.7381 Å, b = 5.7381 Å, c = 5.7381 Å, α = 90.00°, β = 90.00° and γ = 90.00°. The distinct sites, in fractional coordinates, are Ba at (0.0000, 0.0000, 0.5000), Mn at (0.0000, 0.0000, 0.0000) and Pb at (0.5000, 0.5000, 0.5000).

=====

(8)
Entry from Alexandria: crystalline TaTl2Cu2Se4 at its relaxed geometry (PBE).

For the formation energy (no corrections), the calculation gives -402 meV per atom. As for the calculated total energy: -4.70 eV per atom. As for the size of the total moment: 0.003 Bohr magnetons per cell.

It has space group C2/m (No. 12), with a = 14.1887 Å, b = 3.7481 Å, c = 8.1699 Å, α = 90.00°, β = 107.61° and γ = 90.00°. The distinct sites, in fractional coordinates, are Ta at (0.0000, 0.0000, 0.0000), Tl at (0.1395, 0.0000, 0.5558), Cu at (0.1793, 0.5000, 0.9785), Se at (0.0162, 0.5000, 0.7774) and Se at (0.1908, 0.0000, 0.1773).

=====

(9)
Entry from Alexandria: crystalline Tb3Pm2Pr5 at its relaxed geometry (PBE).

The value obtained for the formation energy is 0.353 eV per atom. As for the calculated total energy: -4.38 eV per atom. The calculation puts the polymorph energy (0 for the lowest one) at 177.9 meV/atom. As for the size of the total moment: 0.000 Bohr magnetons per cell.

It has space group Ibam (No. 72), with a = 9.5259 Å, b = 22.3323 Å, c = 6.9146 Å, α = 90.00°, β = 90.00° and γ = 90.00°. The distinct sites, in fractional coordinates, are Tb at (0.0000, 0.0000, 0.2500), Tb at (0.2466, 0.1187, 0.0000), Pm at (0.0958, 0.1203, 0.5000), Pr at (0.0000, 0.2462, 0.2500), Pr at (0.0000, 0.5000, 0.2500) and Pr at (0.0962, 0.3720, 0.0000).

=====

(10)
Entry from Alexandria: crystalline LaTl2Cd at its relaxed geometry (PBE).

The value obtained for the formation energy is -0.063 eV per atom. As for the calculated total energy: -2.71 eV per atom. As for the size of the total moment: 1.185 Bohr magnetons per cell.

It has space group R-3m (No. 166, hexagonal axes), with a = 3.5441 Å, b = 3.5441 Å, c = 31.9754 Å, α = 90.00°, β = 90.00° and γ = 120.00°. The distinct sites, in fractional coordinates, are La at (0.0000, 0.0000, 0.0000), Tl at (0.0000, 0.0000, 0.2438) and Cd at (0.0000, 0.0000, 0.5000).

=====

(11)
Entry from Alexandria: crystalline RbCd3Cu at its relaxed geometry (PBE).

The value obtained for the formation energy is 0.933 eV per atom. As for the calculated total energy: -0.63 eV per atom. The calculation puts the polymorph energy (0 for the lowest one) at 893.7 meV/atom. As for the size of the total moment: 0.000 Bohr magnetons per cell.

It has space group Pm-3m (No. 221), with a = 6.8287 Å, b = 6.8287 Å, c = 6.8287 Å, α = 90.00°, β = 90.00° and γ = 90.00°. The distinct sites, in fractional coordinates, are Rb at (0.0000, 0.0000, 0.0000), Cd at (0.0000, 0.0000, 0.5000) and Cu at (0.5000, 0.5000, 0.5000).

=====

(12)
Entry from Alexandria: crystalline MgCr4S8 at its relaxed geometry (PBE).

For the formation energy (no corrections), the calculation gives -723 meV per atom. As for the calculated total energy: -6.35 eV per atom. The calculation puts the polymorph energy (0 for the lowest one) at 10.3 meV/atom. As for the size of the total moment: 29.996 Bohr magnetons per cell.

It has space group R-3m (No. 166, hexagonal axes), with a = 6.8293 Å, b = 6.8293 Å, c = 18.2114 Å, α = 90.00°, β = 90.00° and γ = 120.00°. The distinct sites, in fractional coordinates, are Mg at (0.0000, 0.0000, 0.0000), Cr at (0.0000, 0.0000, 0.5000), Cr at (0.0000, 0.5000, 0.5000), S at (0.0000, 0.0000, 0.2389) and S at (0.0007, 0.5003, 0.7594).

=====

no.,ρ (Mg/m³),density of states at the Fermi level (states/eV/cell)
1,7.28,6.06
2,13.54,6.54
3,6.29,5.42
4,5.02,4.64
5,9.07,2.83
6,5.80,25.90
7,5.93,11.84
8,8.28,8.42
9,6.64,60.19
10,9.45,10.43
11,2.54,1.05
12,3.31,26.11